1.
First-principles (PBE-GGA) data for a relaxed HoIn2Ag crystal, as listed in Alexandria. Values from VASP.

Structure (Quantum ESPRESSO input):
```
&SYSTEM
  ibrav = 0, nat = 4, ntyp = 3
/
ATOMIC_SPECIES
Ho 164.93 Ho.upf
In 114.82 In.upf
Ag 107.87 Ag.upf
ATOMIC_POSITIONS crystal
Ho 0.000 0.000 0.000
In 0.500 0.500 0.280
In 0.500 0.500 0.720
Ag 0.000 0.000 0.500
CELL_PARAMETERS angstrom
3.548 0.000 0.000
0.000 3.548 0.000
0.000 0.000 7.444
```

Energy relative to the elements ... -224 meV per atom
Fermi-level density of states ... 0.681 states/eV per atom
Electronic total energy ... -3.45 eV per atom

***

2.
First-principles (PBE-GGA) data for a relaxed Ho2In2Ag crystal, as listed in Alexandria. Values from VASP.

Structure (Quantum ESPRESSO input):
```
&SYSTEM
  ibrav = 0, nat = 5, ntyp = 3
/
ATOMIC_SPECIES
Ho 164.93 Ho.upf
In 114.82 In.upf
Ag 107.87 Ag.upf
ATOMIC_POSITIONS crystal
Ho 0.000 0.000 0.000
Ho 0.000 0.229 0.229
In 0.500 0.611 0.611
In 0.500 0.816 0.816
Ag 0.500 0.417 0.417
CELL_PARAMETERS angstrom
3.464 0.000 0.000
0.000 2.360 7.519
0.000 -2.360 7.519
```

Energy relative to the elements ... -397 meV per atom
Fermi-level density of states ... 0.799 states/eV per atom
Electronic total energy ... -3.89 eV per atom
Energy above the most stable polymorph in this dataset ... 0 meV per atom

***

3.
First-principles (PBE-GGA) data for a relaxed HoIn3Ag3 crystal, as listed in Alexandria. Values from VASP.

Structure (Quantum ESPRESSO input):
```
&SYSTEM
  ibrav = 0, nat = 14, ntyp = 3
/
ATOMIC_SPECIES
Ho 164.93 Ho.upf
In 114.82 In.upf
Ag 107.87 Ag.upf
ATOMIC_POSITIONS crystal
Ho 0.000 0.000 0.000
Ho 0.500 0.500 0.500
In 0.000 0.250 0.500
In 0.000 0.750 0.500
In 0.250 0.500 0.000
In 0.500 0.000 0.250
In 0.500 0.000 0.750
In 0.750 0.500 0.000
Ag 0.000 0.500 0.250
Ag 0.000 0.500 0.750
Ag 0.250 0.000 0.500
Ag 0.500 0.250 0.000
Ag 0.500 0.750 0.000
Ag 0.750 0.000 0.500
CELL_PARAMETERS angstrom
7.506 0.000 0.000
0.000 7.506 0.000
0.000 0.000 7.506
```

Energy relative to the elements ... 441 meV per atom
Fermi-level density of states ... 0.591 states/eV per atom
Electronic total energy ... -2.61 eV per atom

***

4.
First-principles (PBE-GGA) data for a relaxed Ho5In2Ag2 crystal, as listed in Alexandria. Values from VASP.

Structure (Quantum ESPRESSO input):
```
&SYSTEM
  ibrav = 0, nat = 18, ntyp = 3
/
ATOMIC_SPECIES
Ho 164.93 Ho.upf
In 114.82 In.upf
Ag 107.87 Ag.upf
ATOMIC_POSITIONS crystal
Ho 0.000 0.000 0.000
Ho 0.053 0.682 0.658
Ho 0.182 0.553 0.158
Ho 0.318 0.947 0.658
Ho 0.447 0.818 0.158
Ho 0.500 0.500 0.500
Ho 0.553 0.182 0.842
Ho 0.682 0.053 0.342
Ho 0.818 0.447 0.842
Ho 0.947 0.318 0.342
In 0.210 0.210 0.000
In 0.290 0.290 0.500
In 0.710 0.710 0.500
In 0.790 0.790 0.000
Ag 0.126 0.874 0.373
Ag 0.374 0.626 0.873
Ag 0.626 0.374 0.127
Ag 0.874 0.126 0.627
CELL_PARAMETERS angstrom
7.819 -4.341 0.000
7.819 4.341 0.000
0.000 0.000 7.237
```

Energy relative to the elements ... -265 meV per atom
Fermi-level density of states ... 1.001 states/eV per atom
Electronic total energy ... -4.05 eV per atom

***

5.
First-principles (PBE-GGA) data for a relaxed HoIn6Ag12 crystal, as listed in Alexandria. Values from VASP.

Structure (Quantum ESPRESSO input):
```
&SYSTEM
  ibrav = 0, nat = 19, ntyp = 3
/
ATOMIC_SPECIES
Ho 164.93 Ho.upf
In 114.82 In.upf
Ag 107.87 Ag.upf
ATOMIC_POSITIONS crystal
Ho 0.000 0.000 0.000
In 0.297 0.297 0.701
In 0.297 0.701 0.297
In 0.299 0.703 0.703
In 0.701 0.297 0.297
In 0.703 0.299 0.703
In 0.703 0.703 0.299
Ag 0.109 0.347 0.347
Ag 0.111 0.500 0.889
Ag 0.111 0.889 0.500
Ag 0.347 0.109 0.347
Ag 0.347 0.347 0.109
Ag 0.500 0.111 0.889
Ag 0.500 0.889 0.111
Ag 0.653 0.653 0.891
Ag 0.653 0.891 0.653
Ag 0.889 0.111 0.500
Ag 0.889 0.500 0.111
Ag 0.891 0.653 0.653
CELL_PARAMETERS angstrom
6.230 3.597 3.095
-6.230 3.597 3.095
0.000 -7.193 3.095
```

Energy relative to the elements ... 44 meV per atom
Fermi-level density of states ... 0.247 states/eV per atom
Electronic total energy ... -2.86 eV per atom

***

6.
First-principles (PBE-GGA) data for a relaxed Ho2In3Ag4 crystal, as listed in Alexandria. Values from VASP.

Structure (Quantum ESPRESSO input):
```
&SYSTEM
  ibrav = 0, nat = 18, ntyp = 3
/
ATOMIC_SPECIES
Ho 164.93 Ho.upf
In 114.82 In.upf
Ag 107.87 Ag.upf
ATOMIC_POSITIONS crystal
Ho 0.096 0.904 0.893
Ho 0.404 0.596 0.393
Ho 0.596 0.404 0.607
Ho 0.904 0.096 0.107
In 0.000 0.000 0.500
In 0.009 0.491 0.750
In 0.491 0.009 0.250
In 0.500 0.500 0.000
In 0.509 0.991 0.750
In 0.991 0.509 0.250
Ag 0.164 0.836 0.517
Ag 0.179 0.321 0.750
Ag 0.321 0.179 0.250
Ag 0.336 0.664 0.017
Ag 0.664 0.336 0.983
Ag 0.679 0.821 0.750
Ag 0.821 0.679 0.250
Ag 0.836 0.164 0.483
CELL_PARAMETERS angstrom
2.994 -8.546 0.000
2.994 8.546 0.000
0.000 0.000 7.962
```

Energy relative to the elements ... -216 meV per atom
Fermi-level density of states ... 0.589 states/eV per atom
Electronic total energy ... -3.41 eV per atom
Energy above the most stable polymorph in this dataset ... 58 meV per atom

***

7.
First-principles (PBE-GGA) data for a relaxed Ho2In9Ag crystal, as listed in Alexandria. Values from VASP.

Structure (Quantum ESPRESSO input):
```
&SYSTEM
  ibrav = 0, nat = 12, ntyp = 3
/
ATOMIC_SPECIES
Ho 164.93 Ho.upf
In 114.82 In.upf
Ag 107.87 Ag.upf
ATOMIC_POSITIONS crystal
Ho 0.000 0.000 0.169
Ho 0.000 0.000 0.831
In 0.000 0.500 0.000
In 0.000 0.500 0.342
In 0.000 0.500 0.658
In 0.500 0.000 0.000
In 0.500 0.000 0.342
In 0.500 0.000 0.658
In 0.500 0.500 0.165
In 0.500 0.500 0.500
In 0.500 0.500 0.835
Ag 0.000 0.000 0.500
CELL_PARAMETERS angstrom
4.627 0.000 0.000
0.000 4.627 0.000
0.000 0.000 13.743
```

Energy relative to the elements ... -225 meV per atom
Fermi-level density of states ... 0.363 states/eV per atom
Electronic total energy ... -3.28 eV per atom

***

8.
First-principles (PBE-GGA) data for a relaxed Ho2InAg crystal, as listed in Alexandria. Values from VASP.

Structure (Quantum ESPRESSO input):
```
&SYSTEM
  ibrav = 0, nat = 4, ntyp = 3
/
ATOMIC_SPECIES
Ho 164.93 Ho.upf
In 114.82 In.upf
Ag 107.87 Ag.upf
ATOMIC_POSITIONS crystal
Ho 0.000 0.000 0.236
Ho 0.000 0.000 0.764
In 0.500 0.500 0.500
Ag 0.500 0.500 0.000
CELL_PARAMETERS angstrom
3.618 0.000 0.000
0.000 3.618 0.000
0.000 0.000 7.656
```

Energy relative to the elements ... -402 meV per atom
Fermi-level density of states ... 0.725 states/eV per atom
Electronic total energy ... -4.09 eV per atom
Energy above the most stable polymorph in this dataset ... 0 meV per atom

***

9.
First-principles (PBE-GGA) data for a relaxed Ho2InAg3 crystal, as listed in Alexandria. Values from VASP.

Structure (Quantum ESPRESSO input):
```
&SYSTEM
  ibrav = 0, nat = 12, ntyp = 3
/
ATOMIC_SPECIES
Ho 164.93 Ho.upf
In 114.82 In.upf
Ag 107.87 Ag.upf
ATOMIC_POSITIONS crystal
Ho 0.245 0.755 0.755
Ho 0.250 0.250 0.250
Ho 0.750 0.750 0.750
Ho 0.755 0.245 0.245
In 0.334 0.334 0.666
In 0.666 0.666 0.334
Ag 0.167 0.167 0.833
Ag 0.167 0.668 0.332
Ag 0.332 0.833 0.167
Ag 0.668 0.167 0.833
Ag 0.833 0.332 0.668
Ag 0.833 0.833 0.167
CELL_PARAMETERS angstrom
0.000 4.829 8.453
3.315 0.000 8.453
3.315 4.829 0.000
```

Energy relative to the elements ... -305 meV per atom
Fermi-level density of states ... 0.704 states/eV per atom
Electronic total energy ... -3.71 eV per atom
Energy above the most stable polymorph in this dataset ... 0 meV per atom

***

10.
First-principles (PBE-GGA) data for a relaxed Ho4In3Ag crystal, as listed in Alexandria. Values from VASP.

Structure (Quantum ESPRESSO input):
```
&SYSTEM
  ibrav = 0, nat = 8, ntyp = 3
/
ATOMIC_SPECIES
Ho 164.93 Ho.upf
In 114.82 In.upf
Ag 107.87 Ag.upf
ATOMIC_POSITIONS crystal
Ho 0.000 0.000 0.000
Ho 0.000 0.500 0.295
Ho 0.500 0.000 0.481
Ho 0.500 0.500 0.804
In 0.000 0.000 0.725
In 0.000 0.500 0.565
In 0.500 0.500 0.070
Ag 0.500 0.000 0.222
CELL_PARAMETERS angstrom
3.753 0.000 0.000
0.000 4.781 0.000
0.000 0.000 11.818
```

Energy relative to the elements ... -381 meV per atom
Fermi-level density of states ... 0.969 states/eV per atom
Electronic total energy ... -4.05 eV per atom
Energy above the most stable polymorph in this dataset ... 47 meV per atom